This record from the Alexandria database describes an optimized crystal structure of CsPuAg2O6. The functional is PBE-GGA.

Unit cell a=5.768 b=5.768 c=4.911 alpha=95.25 beta=95.25 gamma=88.18
Sites, in units of the cell vectors:
Cs  0.000  0.000  0.000
Pu  0.500  0.500  0.000
Ag  0.000  0.500  0.500
Ag  0.500  0.000  0.500
O  0.219  0.571  0.189
O  0.292  0.292  0.675
O  0.429  0.781  0.811
O  0.571  0.219  0.189
O  0.708  0.708  0.325
O  0.781  0.429  0.811

Output
* total moment: 0.1085 μB per atom
* symmetry: C2/m (12)
* ΔE_f (raw): -1.30 eV per atom

---

This record from the Alexandria database describes an optimized crystal structure of Mg7Sc4Cd. The functional is PBE-GGA.

Unit cell a=6.040 b=6.040 c=11.323 alpha=112.82 beta=112.82 gamma=51.91
Sites, in units of the cell vectors:
Mg  0.000  0.000  0.000
Mg  0.216  0.216  0.919
Mg  0.281  0.281  0.694
Mg  0.360  0.360  0.477
Mg  0.640  0.640  0.523
Mg  0.719  0.719  0.306
Mg  0.784  0.784  0.081
Sc  0.040  0.040  0.369
Sc  0.382  0.382  0.223
Sc  0.618  0.618  0.777
Sc  0.960  0.960  0.631
Cd  0.500  0.500  0.000

Output
* calculated formation energy: 14.33 kJ/mol of atoms
* total moment: 0.0001 μB per atom
* symmetry: C2/m (12)

---

This record from the Alexandria database describes an optimized crystal structure of YMgScRu. The functional is PBE-GGA.

Unit cell a=3.368 b=3.368 c=7.774 alpha=90.00 beta=90.00 gamma=90.00
Sites, in units of the cell vectors:
Y  0.000  0.000  0.000
Mg  0.500  0.500  0.316
Sc  0.000  0.000  0.592
Ru  0.500  0.500  0.774

Output
* ΔE to the lowest computed polymorph: 0.000 eV per formula unit
* calculated formation energy: -31.90 kJ/mol of atoms
* total moment: 0.0000 μB per atom
* symmetry: P4mm (99)

---

This record from the Alexandria database describes an optimized crystal structure of SiTe2H. The functional is PBE-GGA.

Unit cell a=7.420 b=7.420 c=7.420 alpha=31.67 beta=31.67 gamma=31.67
Sites, in units of the cell vectors:
Si  0.000  0.000  0.000
Te  0.407  0.407  0.407
Te  0.593  0.593  0.593
H  0.500  0.500  0.500

Output
* ΔE to the lowest computed polymorph: 0.927 eV per formula unit
* total moment: 0.0000 μB per atom
* symmetry: R-3m (166)

---

This record from the Alexandria database describes an optimized crystal structure of LuThFe4. The functional is PBE-GGA.

Unit cell a=5.156 b=5.156 c=5.156 alpha=60.00 beta=60.00 gamma=60.00
Sites, in units of the cell vectors:
Lu  0.000  0.000  0.000
Th  0.750  0.750  0.750
Fe  0.375  0.375  0.375
Fe  0.375  0.375  0.876
Fe  0.375  0.876  0.375
Fe  0.876  0.375  0.375

Output
* calculated formation energy: -11.61 kJ/mol of atoms
* total moment: 1.1649 μB per atom
* symmetry: F-43m (216)

---

This record from the Alexandria database describes an optimized crystal structure of HfGaTc. The functional is PBE-GGA.

Unit cell a=5.125 b=5.125 c=5.391 alpha=90.00 beta=90.00 gamma=132.21
Sites, in units of the cell vectors:
Hf  0.223  0.777  0.750
Hf  0.777  0.223  0.250
Ga  0.500  0.500  0.000
Ga  0.500  0.500  0.500
Tc  0.083  0.917  0.250
Tc  0.917  0.083  0.750

Output
* ΔE to the lowest computed polymorph: 0.387 eV per formula unit
* calculated formation energy: -32.07 kJ/mol of atoms
* total moment: 0.0000 μB per atom
* symmetry: Cmcm (63)

---

This record from the Alexandria database describes an optimized crystal structure of Ac4PmNd. The functional is PBE-GGA.

Unit cell a=7.179 b=7.179 c=7.179 alpha=60.00 beta=60.00 gamma=60.00
Sites, in units of the cell vectors:
Ac  0.125  0.125  0.125
Ac  0.125  0.125  0.625
Ac  0.125  0.625  0.125
Ac  0.625  0.125  0.125
Pm  0.500  0.500  0.500
Nd  0.750  0.750  0.750

Output
* ΔE to the lowest computed polymorph: 1.319 eV per formula unit
* calculated formation energy: 31.92 kJ/mol of atoms
* total moment: 0.0000 μB per atom
* symmetry: F-43m (216)

---

This record from the Alexandria database describes an optimized crystal structure of Th5CoSn2. The functional is PBE-GGA.

Unit cell a=6.822 b=6.822 c=6.822 alpha=113.38 beta=113.38 gamma=101.90
Sites, in units of the cell vectors:
Th  0.000  0.000  0.000
Th  0.039  0.039  0.502
Th  0.039  0.537  0.000
Th  0.537  0.039  0.000
Th  0.537  0.537  0.498
Co  0.298  0.298  0.000
Sn  0.034  0.534  0.500
Sn  0.534  0.034  0.500

Output
* ΔE to the lowest computed polymorph: 1.741 eV per formula unit
* calculated formation energy: -17.86 kJ/mol of atoms
* total moment: 0.0000 μB per atom
* symmetry: I4mm (107)